Record 1
Computed, not measured: a relaxed structure of Pm6CoPb3 at the PBE-GGA level of DFT.

a = 6.318 Å, b = 8.985 Å, c = 12.251 Å
α = 90.00°, β = 117.86°, γ = 90.00°
Space group P2_1/c (No. 14)
Asymmetric unit:
Pm (0.072, 0.155, 0.447) [4 per cell]
Pm (0.345, 0.699, 0.440) [4 per cell]
Pm (0.403, 0.046, 0.274) [4 per cell]
Co (0.500, 0.000, 0.500) [2 per cell]
Pb (0.000, 0.000, 0.000) [2 per cell]
Pb (0.166, 0.116, 0.762) [4 per cell]

Computed properties:
* E: -5.009 eV per atom
* energy of formation: -336 meV/atom
* volume: 30.74 A^3/atom

=====

Record 2
Computed, not measured: a relaxed structure of Pu2Pa2Bi2C at the PBE-GGA level of DFT.

a = 4.755 Å, b = 4.755 Å, c = 16.575 Å
α = 90.00°, β = 90.00°, γ = 90.00°
Space group I4/mmm (No. 139)
Asymmetric unit:
Pu (0.000, 0.000, 0.153) [4 per cell]
Pa (0.000, 0.500, 0.000) [4 per cell]
Bi (0.000, 0.000, 0.353) [4 per cell]
C (0.000, 0.000, 0.000) [2 per cell]

Computed properties:
* E: -9.536 eV per atom
* energy of formation: -302 meV/atom
* volume: 26.77 A^3/atom

=====

Record 3
Computed, not measured: a relaxed structure of PmH7Rh2Au at the PBE-GGA level of DFT.

a = 3.709 Å, b = 3.709 Å, c = 15.806 Å
α = 90.00°, β = 90.00°, γ = 90.00°
Space group I-4m2 (No. 119)
Asymmetric unit:
Pm (0.000, 0.000, 0.000) [2 per cell]
H (0.000, 0.000, 0.276) [4 per cell]
H (0.000, 0.000, 0.500) [2 per cell]
H (0.000, 0.500, 0.108) [4 per cell]
H (0.000, 0.500, 0.609) [4 per cell]
Rh (0.000, 0.000, 0.390) [4 per cell]
Au (0.000, 0.500, 0.250) [2 per cell]

Computed properties:
* E: -4.430 eV per atom
* volume: 9.88 A^3/atom

=====

Record 4
Computed, not measured: a relaxed structure of Na2MnNiH6 at the PBE-GGA level of DFT.

a = 7.089 Å, b = 7.089 Å, c = 7.089 Å
α = 90.00°, β = 90.00°, γ = 90.00°
Space group Fm-3m (No. 225)
Asymmetric unit:
Na (0.250, 0.250, 0.250) [8 per cell]
Mn (0.000, 0.000, 0.000) [4 per cell]
Ni (0.000, 0.000, 0.500) [4 per cell]
H (0.000, 0.000, 0.261) [24 per cell]

Computed properties:
* E: -3.837 eV per atom
* volume: 8.91 A^3/atom

=====

Record 5
Computed, not measured: a relaxed structure of Er2Th2Zn at the PBE-GGA level of DFT.

a = 3.541 Å, b = 3.541 Å, c = 22.204 Å
α = 90.00°, β = 90.00°, γ = 90.00°
Space group I4/mmm (No. 139)
Asymmetric unit:
Er (0.000, 0.000, 0.081) [4 per cell]
Th (0.000, 0.000, 0.306) [4 per cell]
Zn (0.000, 0.000, 0.500) [2 per cell]

Computed properties:
* E: -5.176 eV per atom
* energy of formation: -128 meV/atom
* volume: 27.85 A^3/atom

=====

Record 6
Computed, not measured: a relaxed structure of TbPm12Tl7 at the PBE-GGA level of DFT.

a = 13.8931 Å, b = 13.8931 Å, c = 12.0650 Å
α = 90.00°, β = 90.00°, γ = 120.00°
Space group R-3 (No. 148, hexagonal axes)
Asymmetric unit:
Tb (0.0000, 0.0000, 0.0000) [3 per cell]
Pm (0.0210, 0.4438, 0.2623) [18 per cell]
Pm (0.0626, 0.1920, 0.3156) [18 per cell]
Tl (0.0000, 0.0000, 0.5000) [3 per cell]
Tl (0.0906, 0.2139, 0.8592) [18 per cell]

Computed properties:
* E: -3.941 eV per atom
* energy of formation: -30 meV/atom
* volume: 33.61 A^3/atom

=====

Record 7
Computed, not measured: a relaxed structure of Ba2TeRu at the PBE-GGA level of DFT.

a = 4.6913 Å, b = 4.6913 Å, c = 25.1861 Å
α = 90.00°, β = 90.00°, γ = 120.00°
Space group R-3m (No. 166, hexagonal axes)
Asymmetric unit:
Ba (0.0000, 0.0000, 0.2476) [6 per cell]
Te (0.0000, 0.0000, 0.0000) [3 per cell]
Ru (0.0000, 0.0000, 0.5000) [3 per cell]

Computed properties:
* E_form (uncorrected): -0.09 eV/atom
* E: -4.160 eV per atom
* volume: 40.00 A^3/atom

=====

Record 8
Computed, not measured: a relaxed structure of In4Br5N2 at the PBE-GGA level of DFT.

a = 3.855 Å, b = 8.810 Å, c = 12.211 Å
α = 88.69°, β = 85.44°, γ = 83.22°
Space group P1 (No. 1)
Asymmetric unit:
In (0.000, 0.000, 0.000) [1 per cell]
In (0.127, 0.931, 0.611) [1 per cell]
In (0.324, 0.348, 0.243) [1 per cell]
In (0.733, 0.575, 0.366) [1 per cell]
Br (0.172, 0.779, 0.173) [1 per cell]
Br (0.417, 0.276, 0.028) [1 per cell]
Br (0.568, 0.960, 0.809) [1 per cell]
Br (0.608, 0.092, 0.487) [1 per cell]
Br (0.682, 0.644, 0.577) [1 per cell]
N (0.243, 0.611, 0.288) [1 per cell]
N (0.808, 0.336, 0.315) [1 per cell]

Computed properties:
* E_form (uncorrected): -0.11 eV/atom
* E: -3.383 eV per atom
* volume: 37.32 A^3/atom

=====

Question: What is the formula in the seventh record?
Answer: Ba2TeRu

=====

Question: Number 4 is which compound?
Answer: Na2MnNiH6